Record 1
KHfAg2Cl8: optimized geometry, PBE.

The structure in POSCAR format:
```
KHfAg2Cl8
1.0
6.851 -0.400 0.292
-0.389 6.469 1.043
0.513 1.468 8.499
K Hf Ag Cl
1 1 2 8
direct
0.000 0.000 0.500 K
0.000 0.000 0.000 Hf
0.404 0.443 0.703 Ag
0.596 0.557 0.297 Ag
0.046 0.723 0.261 Cl
0.665 0.800 0.007 Cl
0.857 0.211 0.155 Cl
0.954 0.277 0.739 Cl
0.335 0.200 0.993 Cl
0.143 0.789 0.845 Cl
0.511 0.784 0.482 Cl
0.489 0.216 0.518 Cl
```

Values from the calculation:
- Space group: P-1
- Energy relative to the elements, uncorrected: -1.239 eV/atom

=====

Record 2
LiZr2H: optimized geometry, PBE.

The structure in POSCAR format:
```
LiZr2H
1.0
6.580 0.000 0.000
0.000 6.580 0.000
3.290 3.290 2.989
H Zr Li
2 4 2
direct
0.500 0.500 0.000 H
0.250 0.750 0.500 H
0.543 0.125 0.250 Zr
0.207 0.625 0.250 Zr
0.375 0.457 0.750 Zr
0.875 0.793 0.750 Zr
0.000 0.000 0.000 Li
0.750 0.250 0.500 Li
```

Values from the calculation:
- Relative energy among the computed polymorphs: 51.5 meV/atom
- Space group: I-42d

=====

Record 3
ScSiSb2I: optimized geometry, PBE.

The structure in POSCAR format:
```
ScSiSb2I
1.0
-5.375 1.467 0.090
-1.201 -4.186 -3.476
-0.830 -3.300 4.261
I Sb Si Sc
1 2 1 1
direct
0.000 0.000 0.500 I
0.000 0.500 0.000 Sb
0.500 0.000 0.000 Sb
0.500 0.500 0.500 Si
0.000 0.000 0.000 Sc
```

Values from the calculation:
- Relative energy among the computed polymorphs: 106.6 meV/atom
- Space group: P4/mmm
- Energy relative to the elements, uncorrected: 0.499 eV/atom

=====

Record 4
CsLaSe2F: optimized geometry, PBE.

The structure in POSCAR format:
```
CsLaSe2F
1.0
-3.968 -0.588 -3.770
2.917 -2.641 -2.659
-1.768 -4.537 2.568
Cs F Se La
1 1 2 1
direct
0.000 0.500 0.000 Cs
0.000 0.000 0.000 F
0.000 0.000 0.500 Se
0.500 0.000 0.000 Se
0.500 0.500 0.500 La
```

Values from the calculation:
- Space group: P4/mmm
- Energy relative to the elements, uncorrected: -0.855 eV/atom

=====

In the order shown, the computed Fermi-level density of states values come out to 1.41, 3.62, 5.68, 2.76 states/eV/f.u..